# 1
Density functional theory data (PBE) for crystalline TaCu2BiI at its relaxed geometry.

```
data_TaCu2BiI
_space_group_name_H-M_alt 'P 4/m m m'
_space_group_IT_number 123
_space_group_name_Hall '-P 4 2'
_cell_length_a 4.839
_cell_length_b 4.839
_cell_length_c 5.368
_cell_angle_alpha 90.00
_cell_angle_beta 90.00
_cell_angle_gamma 90.00
loop_
_atom_site_label
_atom_site_type_symbol
_atom_site_fract_x
_atom_site_fract_y
_atom_site_fract_z
Ta1 Ta 0.000 0.000 0.000
Cu1 Cu 0.000 0.500 0.500
Bi1 Bi 0.500 0.500 0.000
I1 I 0.000 0.000 0.500
```



# 2
Density functional theory data (PBE) for crystalline HfSiGe2 at its relaxed geometry.

```
data_HfSiGe2
_space_group_name_H-M_alt 'I -4 2 d'
_space_group_IT_number 122
_space_group_name_Hall 'I -4 2bw'
_cell_length_a 7.335
_cell_length_b 7.335
_cell_length_c 5.514
_cell_angle_alpha 90.00
_cell_angle_beta 90.00
_cell_angle_gamma 90.00
loop_
_atom_site_label
_atom_site_type_symbol
_atom_site_fract_x
_atom_site_fract_y
_atom_site_fract_z
Hf1 Hf 0.000 0.000 0.000
Si1 Si 0.000 0.000 0.500
Ge1 Ge 0.227 0.250 0.625
```



Across the entries above, theoretical density takes the values 8.51; 7.88 g/cm3, respectively.
Across the entries above, formation energy without anion corrections takes the values 6.83; 0.26 eV/f.u., respectively.